Below is crystalline CaMnF2 at its relaxed geometry, with properties calculated at the PBE+U level.

The structure in CIF format:
```
data_CaMnF2
_cell_length_a 6.077
_cell_length_b 6.077
_cell_length_c 7.041
_cell_angle_alpha 64.43
_cell_angle_beta 64.43
_cell_angle_gamma 90.00
_space_group_name_H-M_alt 'P 1'
_space_group_IT_number 1
_space_group_name_Hall 'P 1'
loop_
_atom_site_label
_atom_site_fract_x
_atom_site_fract_y
_atom_site_fract_z
Mn1 0.000 0.000 0.000
Mn2 0.750 0.250 0.500
F1 0.483 0.125 0.250
F2 0.875 0.733 0.750
F3 0.267 0.625 0.250
F4 0.375 0.517 0.750
Ca1 0.500 0.500 0.000
Ca2 0.250 0.750 0.500
```

## Properties
Density of states at the Fermi level   0.5 states/eV per cell
Magnetic moment   1.2561 μB/atom
Energy   -5.43 eV/atom
Offset from the most stable computed form   0.251 eV per atom